Entry 1:
! PBE TaZnSb2, relaxed; values from VASP
! Symmetry: Cmmm, No. 65
! DFT total energy in eV per formula unit: -20.440
! Uncorrected formation energy in kJ/mol of atoms: 22
&SYSTEM
  ibrav = 0, nat = 8, ntyp = 3
/
ATOMIC_SPECIES
Ta 180.95 Ta.upf
Zn 65.41 Zn.upf
Sb 121.76 Sb.upf
CELL_PARAMETERS angstrom
3.852 0.000 0.000
0.000 5.088 0.000
0.000 0.000 9.257
ATOMIC_POSITIONS crystal
Ta 0.000 0.000 0.000
Ta 0.500 0.500 0.000
Zn 0.000 0.000 0.500
Zn 0.500 0.500 0.500
Sb 0.000 0.500 0.228
Sb 0.000 0.500 0.772
Sb 0.500 0.000 0.228
Sb 0.500 0.000 0.772

***

Entry 2:
! PBE Ta2ZnSb, relaxed; values from VASP
! Symmetry: P4/mmm, No. 123
! DFT total energy in eV per formula unit: -28.252
! Uncorrected formation energy in kJ/mol of atoms: 20
&SYSTEM
  ibrav = 0, nat = 4, ntyp = 3
/
ATOMIC_SPECIES
Ta 180.95 Ta.upf
Zn 65.41 Zn.upf
Sb 121.76 Sb.upf
CELL_PARAMETERS angstrom
4.116 0.000 0.000
0.000 4.116 0.000
0.000 0.000 4.301
ATOMIC_POSITIONS crystal
Ta 0.000 0.500 0.000
Ta 0.500 0.000 0.000
Zn 0.000 0.000 0.500
Sb 0.500 0.500 0.500

***

Entry 3:
! PBE TaZn2Sb, relaxed; values from VASP
! Symmetry: Cm, No. 8
! DFT total energy in eV per formula unit: -17.818
! Uncorrected formation energy in kJ/mol of atoms: 17
&SYSTEM
  ibrav = 0, nat = 8, ntyp = 3
/
ATOMIC_SPECIES
Ta 180.95 Ta.upf
Zn 65.41 Zn.upf
Sb 121.76 Sb.upf
CELL_PARAMETERS angstrom
10.016 0.000 0.000
0.000 2.924 0.000
-0.667 0.000 5.067
ATOMIC_POSITIONS crystal
Ta 0.000 0.000 0.000
Ta 0.500 0.500 0.000
Zn 0.027 0.500 0.526
Zn 0.278 0.000 0.717
Zn 0.527 0.000 0.526
Zn 0.778 0.500 0.717
Sb 0.246 0.500 0.207
Sb 0.746 0.000 0.207

***

Entry 4:
! PBE TaZnSb2, relaxed; values from VASP
! Symmetry: Cm, No. 8
! DFT total energy in eV per formula unit: -20.291
! Uncorrected formation energy in kJ/mol of atoms: 26
&SYSTEM
  ibrav = 0, nat = 8, ntyp = 3
/
ATOMIC_SPECIES
Ta 180.95 Ta.upf
Zn 65.41 Zn.upf
Sb 121.76 Sb.upf
CELL_PARAMETERS angstrom
11.108 0.000 0.000
0.000 3.002 0.000
-1.247 0.000 5.058
ATOMIC_POSITIONS crystal
Ta 0.000 0.000 0.000
Ta 0.500 0.500 0.000
Zn 0.309 0.000 0.669
Zn 0.809 0.500 0.669
Sb 0.057 0.500 0.528
Sb 0.258 0.500 0.155
Sb 0.557 0.000 0.528
Sb 0.758 0.000 0.155

***

Entry 5:
! PBE TaZnSb2, relaxed; values from VASP
! Symmetry: C2/m, No. 12
! DFT total energy in eV per formula unit: -20.046
! Uncorrected formation energy in kJ/mol of atoms: 32
&SYSTEM
  ibrav = 0, nat = 8, ntyp = 3
/
ATOMIC_SPECIES
Ta 180.95 Ta.upf
Zn 65.41 Zn.upf
Sb 121.76 Sb.upf
CELL_PARAMETERS angstrom
6.149 0.000 0.000
0.000 7.570 0.000
-0.011 0.000 3.569
ATOMIC_POSITIONS crystal
Ta 0.000 0.000 0.000
Ta 0.500 0.500 0.000
Zn 0.000 0.500 0.000
Zn 0.500 0.000 0.000
Sb 0.250 0.250 0.500
Sb 0.250 0.750 0.500
Sb 0.750 0.250 0.500
Sb 0.750 0.750 0.500

***

Entry 6:
! PBE Ta2ZnSb, relaxed; values from VASP
! Symmetry: P4mm, No. 99
! DFT total energy in eV per formula unit: -28.111
! Uncorrected formation energy in kJ/mol of atoms: 24
&SYSTEM
  ibrav = 0, nat = 4, ntyp = 3
/
ATOMIC_SPECIES
Ta 180.95 Ta.upf
Zn 65.41 Zn.upf
Sb 121.76 Sb.upf
CELL_PARAMETERS angstrom
2.930 0.000 0.000
0.000 2.930 0.000
0.000 0.000 10.083
ATOMIC_POSITIONS crystal
Ta 0.000 0.000 0.000
Ta 0.500 0.500 0.228
Zn 0.000 0.000 0.416
Sb 0.500 0.500 0.777

***

Entry 7:
! PBE TaZnSb2, relaxed; values from VASP
! Symmetry: Immm, No. 71
! DFT total energy in eV per formula unit: -20.358
! Uncorrected formation energy in kJ/mol of atoms: 24
&SYSTEM
  ibrav = 0, nat = 8, ntyp = 3
/
ATOMIC_SPECIES
Ta 180.95 Ta.upf
Zn 65.41 Zn.upf
Sb 121.76 Sb.upf
CELL_PARAMETERS angstrom
3.854 0.000 0.000
0.000 5.044 0.000
0.000 0.000 8.370
ATOMIC_POSITIONS crystal
Ta 0.000 0.000 0.000
Ta 0.500 0.500 0.500
Zn 0.000 0.000 0.500
Zn 0.500 0.500 0.000
Sb 0.000 0.500 0.230
Sb 0.000 0.500 0.770
Sb 0.500 0.000 0.270
Sb 0.500 0.000 0.730

***

Entry 8:
! PBE ZrTaSb, relaxed; values from VASP
! Symmetry: P4/nmm, No. 129
! DFT total energy in eV per formula unit: -25.329
! Uncorrected formation energy in kJ/mol of atoms: -26
&SYSTEM
  ibrav = 0, nat = 6, ntyp = 3
/
ATOMIC_SPECIES
Zr 91.22 Zr.upf
Ta 180.95 Ta.upf
Sb 121.76 Sb.upf
CELL_PARAMETERS angstrom
3.812 0.000 0.000
0.000 3.812 0.000
0.000 0.000 9.093
ATOMIC_POSITIONS crystal
Zr 0.250 0.250 0.242
Zr 0.750 0.750 0.758
Ta 0.250 0.250 0.562
Ta 0.750 0.750 0.438
Sb 0.250 0.250 0.888
Sb 0.750 0.750 0.112

***

Entry 9:
! PBE ZrTaSb3, relaxed; values from VASP
! Symmetry: Pm-3m, No. 221
! DFT total energy in eV per formula unit: -29.134
! Uncorrected formation energy in kJ/mol of atoms: 70
&SYSTEM
  ibrav = 0, nat = 5, ntyp = 3
/
ATOMIC_SPECIES
Zr 91.22 Zr.upf
Ta 180.95 Ta.upf
Sb 121.76 Sb.upf
CELL_PARAMETERS angstrom
5.328 0.000 0.000
0.000 5.328 0.000
0.000 0.000 5.328
ATOMIC_POSITIONS crystal
Zr 0.000 0.000 0.000
Ta 0.500 0.500 0.500
Sb 0.000 0.500 0.500
Sb 0.500 0.000 0.500
Sb 0.500 0.500 0.000

***

Entry 10:
! PBE Zr3TaSb, relaxed; values from VASP
! Symmetry: Pm-3m, No. 221
! DFT total energy in eV per formula unit: -36.317
! Uncorrected formation energy in kJ/mol of atoms: 102
&SYSTEM
  ibrav = 0, nat = 5, ntyp = 3
/
ATOMIC_SPECIES
Zr 91.22 Zr.upf
Ta 180.95 Ta.upf
Sb 121.76 Sb.upf
CELL_PARAMETERS angstrom
5.188 0.000 0.000
0.000 5.188 0.000
0.000 0.000 5.188
ATOMIC_POSITIONS crystal
Zr 0.000 0.000 0.500
Zr 0.000 0.500 0.000
Zr 0.500 0.000 0.000
Ta 0.500 0.500 0.500
Sb 0.000 0.000 0.000

***

Entry 11:
! PBE ZrTa2Sb, relaxed; values from VASP
! Symmetry: Pm, No. 6
! DFT total energy in eV per formula unit: -36.566
! Uncorrected formation energy in kJ/mol of atoms: -5
&SYSTEM
  ibrav = 0, nat = 4, ntyp = 3
/
ATOMIC_SPECIES
Zr 91.22 Zr.upf
Ta 180.95 Ta.upf
Sb 121.76 Sb.upf
CELL_PARAMETERS angstrom
3.397 0.000 0.000
0.000 4.604 0.000
-1.690 0.000 5.272
ATOMIC_POSITIONS crystal
Zr 0.000 0.000 0.000
Ta 0.290 0.500 0.580
Ta 0.743 0.000 0.485
Sb 0.568 0.500 0.136

***

Copy entry 2 word for word.
! PBE Ta2ZnSb, relaxed; values from VASP
! Symmetry: P4/mmm, No. 123
! DFT total energy in eV per formula unit: -28.252
! Uncorrected formation energy in kJ/mol of atoms: 20
&SYSTEM
  ibrav = 0, nat = 4, ntyp = 3
/
ATOMIC_SPECIES
Ta 180.95 Ta.upf
Zn 65.41 Zn.upf
Sb 121.76 Sb.upf
CELL_PARAMETERS angstrom
4.116 0.000 0.000
0.000 4.116 0.000
0.000 0.000 4.301
ATOMIC_POSITIONS crystal
Ta 0.000 0.500 0.000
Ta 0.500 0.000 0.000
Zn 0.000 0.000 0.500
Sb 0.500 0.500 0.500